1.
The following is a DFT calculation (PBEsol) of a geometry-optimized Ir2BrCl structure.

Cell lengths 2.8371, 5.2214, 5.2214 Å; angles 60.39, 74.24, 74.24 degrees
Last column: nearest neighbours and their distance in Å.
Fractional coordinates of all 4 atoms:
Cl  0.0000  0.5000  0.5000  4 Ir 2.54, 2 Cl 2.84
Ir  0.7460  0.2540  0.2540  2 Cl 2.54, 2 Br 2.60, 2 Ir 2.84
Br  0.5000  0.0000  0.0000  4 Ir 2.60, 2 Br 2.84
Ir  0.2540  0.7460  0.7460  2 Cl 2.54, 2 Br 2.60, 2 Ir 2.84

Summary:
E above lowest polymorph, meV per atom: 0
Raw total energy, eV per atom: -4.96
Space-group type: Immm, No. 71

2.
The following is a DFT calculation (PBEsol) of a geometry-optimized KBr2Cl structure.

Cell lengths 4.7223, 5.5300, 6.2330 Å; angles 93.80, 90.00, 115.28 degrees
Last column: nearest neighbours and their distance in Å.
Fractional coordinates of all 4 atoms:
K  0.7329  0.4658  0.6814  3 Cl 3.09-3.14, 2 Br 3.31
Cl  0.4203  0.8407  0.5908  1 Br 2.48
Br  0.0890  0.1779  0.9576  1 Br 2.48
Br  0.2578  0.5156  0.2702  1 Cl 2.48, 1 Br 2.48

Summary:
E above lowest polymorph, meV per atom: 0
Raw total energy, eV per atom: -2.67
Space-group type: Cm, No. 8

The evaluated E_form (uncorrected) for the records listed, in turn: 0.918 -0.947 eV per atom.
The evaluated volume for the records listed, in turn: 64 147 Å³/cell.